FeCuTc2W: optimized geometry, PBE-GGA.

Cell and atoms, written as extended XYZ:
```
5
Lattice="4.418 0.000 0.000 0.000 4.449 0.000 0.000 0.000 4.418" Properties=species:S:1:pos:R:3 pbc="T T T"
Tc 2.209 0.000 0.000
Tc 0.000 0.000 2.209
Cu 0.000 0.000 0.000
W 0.000 2.225 0.000
Fe 2.209 2.225 2.209
```

Output
As for the total magnetization: 1.9 μB per cell. Its formation energy is 1.86 eV per atom. For the calculated total energy, the calculation gives -7.39 eV per atom.

=====

FeCuTcW: optimized geometry, PBE-GGA.

Cell and atoms, written as extended XYZ:
```
4
Lattice="-3.645 -1.196 -1.846 0.006 -1.377 -4.029 -0.708 -4.112 -0.846" Properties=species:S:1:pos:R:3 pbc="T T T"
Fe -2.173 -3.343 -3.360
Cu -1.087 -1.671 -1.680
W -3.260 -5.014 -5.040
Tc 0.000 0.000 0.000
```

Output
As for the total magnetization: 1.8 μB per cell. Its formation energy is 0.23 eV per atom. For the calculated total energy, the calculation gives -8.74 eV per atom.